Entry 1:
This record from the Alexandria database describes a geometry-optimized Tl3Tc structure. The functional is PBE.

CIF file:
```
data_Tl3Tc
_cell_length_a 3.2430
_cell_length_b 3.2430
_cell_length_c 31.9592
_cell_angle_alpha 90.00
_cell_angle_beta 90.00
_cell_angle_gamma 120.00
_space_group_name_H-M_alt 'R -3 m'
_space_group_IT_number 166
_space_group_name_Hall '-R 3 2"'
loop_
_atom_site_label
_atom_site_fract_x
_atom_site_fract_y
_atom_site_fract_z
Tl1 0.0000 0.0000 0.0000
Tl2 0.0000 0.0000 0.2373
Tc1 0.0000 0.0000 0.5000
```

The energy relative to the elements is 575 meV/atom. The calculation puts the theoretical density at 12.17 Mg/m³. The calculation puts the energy above the most stable polymorph in this dataset at 68.6 kJ/mol of formula units.



Entry 2:
This record from the Alexandria database describes a geometry-optimized Sc3TlPd12 structure. The functional is PBE.

CIF file:
```
data_Sc3TlPd12
_cell_length_a 4.029
_cell_length_b 4.029
_cell_length_c 16.128
_cell_angle_alpha 90.00
_cell_angle_beta 90.00
_cell_angle_gamma 90.00
_space_group_name_H-M_alt 'P 4/m m m'
_space_group_IT_number 123
_space_group_name_Hall '-P 4 2'
loop_
_atom_site_label
_atom_site_fract_x
_atom_site_fract_y
_atom_site_fract_z
Sc1 0.000 0.000 0.000
Sc2 0.000 0.000 0.248
Tl1 0.000 0.000 0.500
Pd1 0.000 0.500 0.123
Pd2 0.000 0.500 0.369
Pd3 0.500 0.500 0.000
Pd4 0.500 0.500 0.246
Pd5 0.500 0.500 0.500
```

The energy relative to the elements is -685 meV/atom. The calculation puts the theoretical density at 10.25 Mg/m³.



Entry 3:
This record from the Alexandria database describes a geometry-optimized TcOs2Au structure. The functional is PBE.

CIF file:
```
data_TcOs2Au
_cell_length_a 2.773
_cell_length_b 3.921
_cell_length_c 5.605
_cell_angle_alpha 90.00
_cell_angle_beta 90.00
_cell_angle_gamma 90.00
_space_group_name_H-M_alt 'P m m 2'
_space_group_IT_number 25
_space_group_name_Hall 'P 2 -2'
loop_
_atom_site_label
_atom_site_fract_x
_atom_site_fract_y
_atom_site_fract_z
Tc1 0.000 0.000 0.000
Os1 0.000 0.000 0.548
Os2 0.500 0.500 0.770
Au1 0.500 0.500 0.271
```

The energy relative to the elements is 348 meV/atom. The calculation puts the theoretical density at 18.40 Mg/m³. The calculation puts the energy above the most stable polymorph in this dataset at 40.0 kJ/mol of formula units.



Entry 4:
This record from the Alexandria database describes a geometry-optimized NpMo2C2 structure. The functional is PBE.

CIF file:
```
data_NpMo2C2
_cell_length_a 7.176
_cell_length_b 8.793
_cell_length_c 9.060
_cell_angle_alpha 90.00
_cell_angle_beta 90.00
_cell_angle_gamma 90.00
_space_group_name_H-M_alt 'F d d d'
_space_group_IT_number 70
loop_
_space_group_symop_operation_xyz
'x,y,z'
'-x,-y,-z'
'-x+1/4,-y+1/4,z'
'x+1/4,y+1/4,-z'
'x,-y+1/4,-z+1/4'
'-x,y+1/4,z+1/4'
'-x+1/4,y,-z+1/4'
'x+1/4,-y,z+1/4'
'x,y+1/2,z+1/2'
'-x,-y+1/2,-z+1/2'
'-x+1/4,-y+3/4,z+1/2'
'x+1/4,y+3/4,-z+1/2'
'x,-y+3/4,-z+3/4'
'-x,y+3/4,z+3/4'
'-x+1/4,y+1/2,-z+3/4'
'x+1/4,-y+1/2,z+3/4'
'x+1/2,y,z+1/2'
'-x+1/2,-y,-z+1/2'
'-x+3/4,-y+1/4,z+1/2'
'x+3/4,y+1/4,-z+1/2'
'x+1/2,-y+1/4,-z+3/4'
'-x+1/2,y+1/4,z+3/4'
'-x+3/4,y,-z+3/4'
'x+3/4,-y,z+3/4'
'x+1/2,y+1/2,z'
'-x+1/2,-y+1/2,-z'
'-x+3/4,-y+3/4,z'
'x+3/4,y+3/4,-z'
'x+1/2,-y+3/4,-z+1/4'
'-x+1/2,y+3/4,z+1/4'
'-x+3/4,y+1/2,-z+1/4'
'x+3/4,-y+1/2,z+1/4'
loop_
_atom_site_label
_atom_site_fract_x
_atom_site_fract_y
_atom_site_fract_z
Np1 0.125 0.125 0.125
Mo1 0.125 0.125 0.480
C1 0.125 0.331 0.625
```

The energy relative to the elements is 146 meV/atom. The calculation puts the theoretical density at 10.52 Mg/m³.



Entry 5:
This record from the Alexandria database describes a geometry-optimized SrTaAg structure. The functional is PBE.

CIF file:
```
data_SrTaAg
_cell_length_a 7.371
_cell_length_b 7.371
_cell_length_c 7.371
_cell_angle_alpha 90.00
_cell_angle_beta 90.00
_cell_angle_gamma 90.00
_space_group_name_H-M_alt 'F -4 3 m'
_space_group_IT_number 216
_space_group_name_Hall 'F -4 2 3'
loop_
_atom_site_label
_atom_site_fract_x
_atom_site_fract_y
_atom_site_fract_z
Sr1 0.000 0.000 0.000
Ta1 0.250 0.250 0.750
Ag1 0.250 0.250 0.250
```

The energy relative to the elements is 1818 meV/atom. The calculation puts the theoretical density at 6.24 Mg/m³. The calculation puts the energy above the most stable polymorph in this dataset at 459.5 kJ/mol of formula units.



Entry 6:
This record from the Alexandria database describes a geometry-optimized ReTcHSe2 structure. The functional is PBE.

CIF file:
```
data_ReTcHSe2
_cell_length_a 4.444
_cell_length_b 4.444
_cell_length_c 3.365
_cell_angle_alpha 90.00
_cell_angle_beta 90.00
_cell_angle_gamma 90.00
_space_group_name_H-M_alt 'P 4/m m m'
_space_group_IT_number 123
_space_group_name_Hall '-P 4 2'
loop_
_atom_site_label
_atom_site_fract_x
_atom_site_fract_y
_atom_site_fract_z
Re1 0.000 0.000 0.000
Tc1 0.500 0.500 0.000
H1 0.000 0.000 0.500
Se1 0.000 0.500 0.500
```

The calculation puts the theoretical density at 11.07 Mg/m³. For the final energy, the calculation gives -5.966 eV/atom.



Entry 7:
This record from the Alexandria database describes a geometry-optimized Mo2IrRh structure. The functional is PBE.

CIF file:
```
data_Mo2IrRh
_cell_length_a 2.776
_cell_length_b 4.448
_cell_length_c 4.845
_cell_angle_alpha 90.00
_cell_angle_beta 90.00
_cell_angle_gamma 90.00
_space_group_name_H-M_alt 'P m m 2'
_space_group_IT_number 25
_space_group_name_Hall 'P 2 -2'
loop_
_atom_site_label
_atom_site_fract_x
_atom_site_fract_y
_atom_site_fract_z
Mo1 0.000 0.000 0.000
Mo2 0.000 0.500 0.343
Ir1 0.500 0.000 0.497
Rh1 0.500 0.500 0.849
```

The energy relative to the elements is -258 meV/atom. The calculation puts the theoretical density at 13.52 Mg/m³. The calculation puts the energy above the most stable polymorph in this dataset at 0.0 kJ/mol of formula units.



Entry 8:
This record from the Alexandria database describes a geometry-optimized Pr2PuS2N2 structure. The functional is PBE.

CIF file:
```
data_Pr2PuS2N2
_cell_length_a 4.299
_cell_length_b 4.299
_cell_length_c 14.958
_cell_angle_alpha 90.00
_cell_angle_beta 90.00
_cell_angle_gamma 90.00
_space_group_name_H-M_alt 'I 4/m m m'
_space_group_IT_number 139
_space_group_name_Hall '-I 4 2'
loop_
_atom_site_label
_atom_site_fract_x
_atom_site_fract_y
_atom_site_fract_z
Pr1 0.000 0.000 0.125
Pu1 0.000 0.000 0.500
S1 0.000 0.000 0.319
N1 0.000 0.500 0.000
```

The calculation puts the theoretical density at 7.42 Mg/m³. The uncorrected formation energy is -1.569 eV per atom.



Entry 9:
This record from the Alexandria database describes a geometry-optimized B5C7 structure. The functional is PBE.

CIF file:
```
data_B5C7
_cell_length_a 2.5699
_cell_length_b 2.5699
_cell_length_c 13.7134
_cell_angle_alpha 90.00
_cell_angle_beta 90.00
_cell_angle_gamma 120.00
_space_group_name_H-M_alt 'P 3 m 1'
_space_group_IT_number 156
_space_group_name_Hall 'P 3 -2"'
loop_
_atom_site_label
_atom_site_fract_x
_atom_site_fract_y
_atom_site_fract_z
B1 0.0000 0.0000 0.0000
B2 0.0000 0.0000 0.1238
B3 0.3333 0.6667 0.7580
B4 0.6667 0.3333 0.4418
B5 0.6667 0.3333 0.9203
C1 0.0000 0.0000 0.4910
C2 0.0000 0.0000 0.6017
C3 0.3333 0.6667 0.1754
C4 0.3333 0.6667 0.2855
C5 0.3333 0.6667 0.6396
C6 0.6667 0.3333 0.3236
C7 0.6667 0.3333 0.8079
```

The energy relative to the elements is 409 meV/atom. The calculation puts the theoretical density at 2.92 Mg/m³. The calculation puts the energy above the most stable polymorph in this dataset at 174.7 kJ/mol of formula units.



Entry 10:
This record from the Alexandria database describes a geometry-optimized Zn2RePt structure. The functional is PBE.

CIF file:
```
data_Zn2RePt
_cell_length_a 2.750
_cell_length_b 4.569
_cell_length_c 9.417
_cell_angle_alpha 90.00
_cell_angle_beta 90.00
_cell_angle_gamma 90.00
_space_group_name_H-M_alt 'I m m 2'
_space_group_IT_number 44
_space_group_name_Hall 'I 2 -2'
loop_
_atom_site_label
_atom_site_fract_x
_atom_site_fract_y
_atom_site_fract_z
Zn1 0.000 0.000 0.000
Zn2 0.000 0.500 0.247
Re1 0.000 0.500 0.752
Pt1 0.000 0.000 0.502
```

The energy relative to the elements is 83 meV/atom. The calculation puts the theoretical density at 14.38 Mg/m³. The calculation puts the energy above the most stable polymorph in this dataset at 60.3 kJ/mol of formula units.



Entry 11:
This record from the Alexandria database describes a geometry-optimized Y2NiH structure. The functional is PBE.

CIF file:
```
data_Y2NiH
_cell_length_a 6.443
_cell_length_b 6.443
_cell_length_c 7.400
_cell_angle_alpha 90.00
_cell_angle_beta 90.00
_cell_angle_gamma 90.00
_space_group_name_H-M_alt 'I -4 2 d'
_space_group_IT_number 122
_space_group_name_Hall 'I -4 2bw'
loop_
_atom_site_label
_atom_site_fract_x
_atom_site_fract_y
_atom_site_fract_z
Y1 0.194 0.250 0.125
Ni1 0.000 0.000 0.500
H1 0.000 0.000 0.000
```

The calculation puts the theoretical density at 5.14 Mg/m³. The calculation puts the energy above the most stable polymorph in this dataset at 20.5 kJ/mol of formula units.



Entry 12:
This record from the Alexandria database describes a geometry-optimized Dy4NpN5 structure. The functional is PBE.

CIF file:
```
data_Dy4NpN5
_cell_length_a 7.722
_cell_length_b 7.722
_cell_length_c 4.902
_cell_angle_alpha 90.00
_cell_angle_beta 90.00
_cell_angle_gamma 90.00
_space_group_name_H-M_alt 'I 4/m'
_space_group_IT_number 87
_space_group_name_Hall '-I 4'
loop_
_atom_site_label
_atom_site_fract_x
_atom_site_fract_y
_atom_site_fract_z
Dy1 0.099 0.700 0.000
Np1 0.000 0.000 0.500
N1 0.000 0.000 0.000
N2 0.094 0.714 0.500
```

The calculation puts the theoretical density at 10.87 Mg/m³. The uncorrected formation energy is -1.595 eV per atom.



Entry 13:
This record from the Alexandria database describes a geometry-optimized LaS2N2 structure. The functional is PBE.

CIF file:
```
data_LaS2N2
_cell_length_a 5.872
_cell_length_b 5.872
_cell_length_c 4.410
_cell_angle_alpha 90.00
_cell_angle_beta 90.00
_cell_angle_gamma 90.00
_space_group_name_H-M_alt 'P 4/m m m'
_space_group_IT_number 123
_space_group_name_Hall '-P 4 2'
loop_
_atom_site_label
_atom_site_fract_x
_atom_site_fract_y
_atom_site_fract_z
La1 0.000 0.000 0.000
S1 0.000 0.500 0.000
N1 0.000 0.000 0.500
N2 0.500 0.500 0.500
```

The calculation puts the theoretical density at 2.52 Mg/m³. The calculation puts the energy above the most stable polymorph in this dataset at 540.8 kJ/mol of formula units. The uncorrected formation energy is 1.424 eV per atom.



Entry 14:
This record from the Alexandria database describes a geometry-optimized Tb4I2N structure. The functional is PBE.

CIF file:
```
data_Tb4I2N
_cell_length_a 4.623
_cell_length_b 4.623
_cell_length_c 19.379
_cell_angle_alpha 90.00
_cell_angle_beta 90.00
_cell_angle_gamma 90.00
_space_group_name_H-M_alt 'I 4/m m m'
_space_group_IT_number 139
_space_group_name_Hall '-I 4 2'
loop_
_atom_site_label
_atom_site_fract_x
_atom_site_fract_y
_atom_site_fract_z
Tb1 0.000 0.000 0.136
Tb2 0.000 0.500 0.000
I1 0.000 0.000 0.305
N1 0.000 0.000 0.000
```

The calculation puts the theoretical density at 7.24 Mg/m³. The uncorrected formation energy is -0.518 eV per atom.



Entry 15:
This record from the Alexandria database describes a geometry-optimized MnTlIr structure. The functional is PBE.

CIF file:
```
data_MnTlIr
_cell_length_a 4.4588
_cell_length_b 4.4588
_cell_length_c 3.0378
_cell_angle_alpha 90.00
_cell_angle_beta 90.00
_cell_angle_gamma 120.00
_space_group_name_H-M_alt 'P 3 m 1'
_space_group_IT_number 156
_space_group_name_Hall 'P 3 -2"'
loop_
_atom_site_label
_atom_site_fract_x
_atom_site_fract_y
_atom_site_fract_z
Mn1 0.0000 0.0000 0.0000
Tl1 0.3333 0.6667 0.3798
Ir1 0.6667 0.3333 0.7687
```

The energy relative to the elements is 412 meV/atom. The calculation puts the theoretical density at 14.34 Mg/m³. The calculation puts the energy above the most stable polymorph in this dataset at 23.9 kJ/mol of formula units.



Entry 16:
This record from the Alexandria database describes a geometry-optimized La4Nd2Sn3N2 structure. The functional is PBE.

CIF file:
```
data_La4Nd2Sn3N2
_cell_length_a 4.947
_cell_length_b 4.947
_cell_length_c 26.330
_cell_angle_alpha 90.00
_cell_angle_beta 90.00
_cell_angle_gamma 90.00
_space_group_name_H-M_alt 'I 4/m m m'
_space_group_IT_number 139
_space_group_name_Hall '-I 4 2'
loop_
_atom_site_label
_atom_site_fract_x
_atom_site_fract_y
_atom_site_fract_z
La1 0.000 0.500 0.086
Nd1 0.000 0.000 0.196
Sn1 0.000 0.000 0.322
Sn2 0.000 0.000 0.500
N1 0.000 0.000 0.107
```

The calculation puts the theoretical density at 6.33 Mg/m³. The uncorrected formation energy is -0.951 eV per atom.



Entry 17:
This record from the Alexandria database describes a geometry-optimized CuP2PtRh structure. The functional is PBE.

CIF file:
```
data_CuP2PtRh
_cell_length_a 4.525
_cell_length_b 4.525
_cell_length_c 4.671
_cell_angle_alpha 90.00
_cell_angle_beta 90.00
_cell_angle_gamma 90.00
_space_group_name_H-M_alt 'P 4/m m m'
_space_group_IT_number 123
_space_group_name_Hall '-P 4 2'
loop_
_atom_site_label
_atom_site_fract_x
_atom_site_fract_y
_atom_site_fract_z
Cu1 0.000 0.000 0.000
P1 0.000 0.500 0.500
Pt1 0.000 0.000 0.500
Rh1 0.500 0.500 0.000
```

The energy relative to the elements is 890 meV/atom. The calculation puts the theoretical density at 7.35 Mg/m³.



Entry 18:
This record from the Alexandria database describes a geometry-optimized Er3SiTe structure. The functional is PBE.

CIF file:
```
data_Er3SiTe
_cell_length_a 14.492
_cell_length_b 10.993
_cell_length_c 7.250
_cell_angle_alpha 90.00
_cell_angle_beta 91.97
_cell_angle_gamma 90.00
_space_group_name_H-M_alt 'C 1 2/c 1'
_space_group_IT_number 15
_space_group_name_Hall '-C 2yc'
loop_
_atom_site_label
_atom_site_fract_x
_atom_site_fract_y
_atom_site_fract_z
Er1 0.095 0.054 0.083
Er2 0.102 0.255 0.440
Er3 0.104 0.390 0.928
Si1 0.000 0.170 0.750
Si2 0.000 0.431 0.250
Te1 0.244 0.428 0.618
```

The calculation puts the theoretical density at 7.57 Mg/m³. The uncorrected formation energy is -0.730 eV per atom.